No. 1
The following is a PBE-GGA calculation of a geometry-optimized AuSe2Cl structure, from Alexandria via LeMat-Bulk.

Lattice parameters (Å, degrees): 4.630 4.630 6.944 83.01 83.01 47.96
Element x y z (fractional)
1 Au 0.750 0.750 0.750
2 Se 0.115 0.115 0.949
3 Se 0.385 0.385 0.551
4 Cl 0.250 0.250 0.250

Values from the calculation:
- Uncorrected formation energy: -0.32 eV/f.u.
- SG: C2/m, No. 12

***

No. 2
The following is a PBE-GGA calculation of a geometry-optimized AuSeCl3 structure, from Alexandria via LeMat-Bulk.

Lattice parameters (Å, degrees): 5.053 5.053 5.053 90.00 90.00 90.00
Element x y z (fractional)
1 Cl 0.000 0.500 0.000
2 Au 0.500 0.500 0.500
3 Cl 0.000 0.000 0.500
4 Se 0.000 0.000 0.000
5 Cl 0.500 0.000 0.000

Values from the calculation:
- Uncorrected formation energy: 1.50 eV/f.u.
- SG: Pm-3m, No. 221

***

No. 3
The following is a PBE-GGA calculation of a geometry-optimized AuSeCl2 structure, from Alexandria via LeMat-Bulk.

Lattice parameters (Å, degrees): 5.762 5.762 7.248 50.79 50.79 33.08
Element x y z (fractional)
1 Cl 0.480 0.480 0.520
2 Se 0.250 0.250 0.250
3 Au 0.750 0.750 0.750
4 Cl 0.020 0.020 0.980

Values from the calculation:
- Uncorrected formation energy: 1.13 eV/f.u.
- SG: C2/m, No. 12
- Energy relative to the lowest polymorph listed for this composition: 430 meV/atom

***

No. 4
The following is a PBE-GGA calculation of a geometry-optimized AuSe2Cl structure, from Alexandria via LeMat-Bulk.

Lattice parameters (Å, degrees): 4.891 4.891 4.903 66.14 66.14 101.17
Element x y z (fractional)
1 Au 0.500 0.000 0.500
2 Se 0.500 0.500 0.000
3 Cl 0.000 0.500 0.500
4 Se 0.000 0.000 0.000

Values from the calculation:
- Uncorrected formation energy: 0.90 eV/f.u.
- SG: C2/m, No. 12

***

Question: The lowest uncorrected formation energy belongs to which entry?
Answer: number 1